The following is a PBE calculation of crystalline CaCd3Hg5 at its relaxed geometry, from Alexandria.

Cell and atoms, written as CIF:
```
data_CaCd3Hg5
_cell_length_a 15.4818
_cell_length_b 8.7153
_cell_length_c 8.2983
_cell_angle_alpha 90.00
_cell_angle_beta 110.83
_cell_angle_gamma 90.00
_symmetry_space_group_name_H-M 'C 1 2/m 1'
_symmetry_Int_Tables_number 12
loop_
_symmetry_equiv_pos_as_xyz
'x,y,z'
'-x,-y,-z'
'-x,y,-z'
'x,-y,z'
'x+1/2,y+1/2,z'
'-x+1/2,-y+1/2,-z'
'-x+1/2,y+1/2,-z'
'x+1/2,-y+1/2,z'
loop_
_atom_site_label
_atom_site_type_symbol
_atom_site_fract_x
_atom_site_fract_y
_atom_site_fract_z
Ca1 Ca 0.1996 0.0000 0.3639
Cd1 Cd 0.0000 0.0000 0.0000
Cd2 Cd 0.0000 0.0000 0.5000
Cd3 Cd 0.1190 0.5000 0.8217
Cd4 Cd 0.1793 0.5000 0.2019
Hg1 Hg 0.0000 0.3197 0.0000
Hg2 Hg 0.0754 0.5000 0.4247
Hg3 Hg 0.1610 0.2189 0.6463
Hg4 Hg 0.1781 0.0000 0.9695
```

***

The following is a PBE calculation of crystalline CaCdHg at its relaxed geometry, from Alexandria.

Cell and atoms, written as CIF:
```
data_CaCdHg
_cell_length_a 11.2848
_cell_length_b 4.9591
_cell_length_c 7.3678
_cell_angle_alpha 90.00
_cell_angle_beta 130.11
_cell_angle_gamma 90.00
_symmetry_space_group_name_H-M 'C 1 2/m 1'
_symmetry_Int_Tables_number 12
loop_
_symmetry_equiv_pos_as_xyz
'x,y,z'
'-x,-y,-z'
'-x,y,-z'
'x,-y,z'
'x+1/2,y+1/2,z'
'-x+1/2,-y+1/2,-z'
'-x+1/2,y+1/2,-z'
'x+1/2,-y+1/2,z'
loop_
_atom_site_label
_atom_site_type_symbol
_atom_site_fract_x
_atom_site_fract_y
_atom_site_fract_z
Ca1 Ca 0.0266 0.0000 0.2796
Cd1 Cd 0.1637 0.5000 0.1302
Hg1 Hg 0.1680 0.5000 0.6918
```

***

The following is a PBE calculation of crystalline CaCd2Hg2 at its relaxed geometry, from Alexandria.

Cell and atoms, written as CIF:
```
data_CaCd2Hg2
_cell_length_a 8.1871
_cell_length_b 8.1871
_cell_length_c 3.9214
_cell_angle_alpha 90.00
_cell_angle_beta 90.00
_cell_angle_gamma 90.00
_symmetry_space_group_name_H-M 'P 4/m b m'
_symmetry_Int_Tables_number 127
_symmetry_space_group_name_Hall '-P 4 2ab'
loop_
_atom_site_label
_atom_site_type_symbol
_atom_site_fract_x
_atom_site_fract_y
_atom_site_fract_z
Ca1 Ca 0.0000 0.0000 0.0000
Cd1 Cd 0.1662 0.3338 0.5000
Hg1 Hg 0.1340 0.6340 0.0000
```

***

The following is a PBE calculation of crystalline CaCd4Hg8 at its relaxed geometry, from Alexandria.

Cell and atoms, written as CIF:
```
data_CaCd4Hg8
_cell_length_a 5.7185
_cell_length_b 7.9009
_cell_length_c 8.1419
_cell_angle_alpha 65.33
_cell_angle_beta 78.41
_cell_angle_gamma 83.59
_symmetry_space_group_name_H-M 'P -1'
_symmetry_Int_Tables_number 2
loop_
_symmetry_equiv_pos_as_xyz
'x,y,z'
'-x,-y,-z'
loop_
_atom_site_label
_atom_site_type_symbol
_atom_site_fract_x
_atom_site_fract_y
_atom_site_fract_z
Ca1 Ca 0.0000 0.0000 0.0000
Cd1 Cd 0.1769 0.6758 0.4032
Cd2 Cd 0.3558 0.2340 0.4707
Hg1 Hg 0.1024 0.8407 0.6886
Hg2 Hg 0.2400 0.5598 0.0755
Hg3 Hg 0.3010 0.3854 0.7776
Hg4 Hg 0.4342 0.0684 0.1711
```

***

The following is a PBE calculation of crystalline CaCd3Hg7 at its relaxed geometry, from Alexandria.

Cell and atoms, written as CIF:
```
data_CaCd3Hg7
_cell_length_a 6.6093
_cell_length_b 6.6093
_cell_length_c 7.6868
_cell_angle_alpha 90.00
_cell_angle_beta 90.00
_cell_angle_gamma 120.00
_symmetry_space_group_name_H-M 'P 3 m 1'
_symmetry_Int_Tables_number 156
loop_
_symmetry_equiv_pos_as_xyz
'x,y,z'
'-y,x-y,z'
'-x+y,-x,z'
'-y,-x,z'
'-x+y,y,z'
'x,x-y,z'
loop_
_atom_site_label
_atom_site_type_symbol
_atom_site_fract_x
_atom_site_fract_y
_atom_site_fract_z
Ca1 Ca 0.0000 0.0000 0.0000
Cd1 Cd 0.1655 0.3310 0.3603
Hg1 Hg 0.3333 0.6667 0.7024
Hg2 Hg 0.3527 0.1763 0.6707
Hg3 Hg 0.5074 0.0148 0.0507
```

***

The following is a PBE calculation of crystalline Ca3CdHg at its relaxed geometry, from Alexandria.

Cell and atoms, written as CIF:
```
data_Ca3CdHg
_cell_length_a 5.4144
_cell_length_b 20.8661
_cell_length_c 5.4081
_cell_angle_alpha 90.00
_cell_angle_beta 90.00
_cell_angle_gamma 90.00
_symmetry_space_group_name_H-M 'C m c m'
_symmetry_Int_Tables_number 63
_symmetry_space_group_name_Hall '-C 2c 2'
loop_
_atom_site_label
_atom_site_type_symbol
_atom_site_fract_x
_atom_site_fract_y
_atom_site_fract_z
Ca1 Ca 0.0000 0.0694 0.2500
Ca2 Ca 0.0000 0.2499 0.2500
Ca3 Ca 0.0000 0.4300 0.2500
Cd1 Cd 0.0000 0.1563 0.7500
Hg1 Hg 0.0000 0.3441 0.7500
```

***

The following is a PBE calculation of crystalline Ca6CdHg at its relaxed geometry, from Alexandria.

Cell and atoms, written as CIF:
```
data_Ca6CdHg
_cell_length_a 5.4435
_cell_length_b 5.4435
_cell_length_c 18.8470
_cell_angle_alpha 90.00
_cell_angle_beta 90.00
_cell_angle_gamma 90.00
_symmetry_space_group_name_H-M 'I 4/m m m'
_symmetry_Int_Tables_number 139
_symmetry_space_group_name_Hall '-I 4 2'
loop_
_atom_site_label
_atom_site_type_symbol
_atom_site_fract_x
_atom_site_fract_y
_atom_site_fract_z
Ca1 Ca 0.0000 0.0000 0.2491
Ca2 Ca 0.0000 0.5000 0.0983
Cd1 Cd 0.0000 0.0000 0.0000
Hg1 Hg 0.0000 0.0000 0.5000
```

***

The following is a PBE calculation of crystalline Ca3Cd3Hg8 at its relaxed geometry, from Alexandria.

Cell and atoms, written as CIF:
```
data_Ca3Cd3Hg8
_cell_length_a 4.8189
_cell_length_b 10.3532
_cell_length_c 14.4308
_cell_angle_alpha 90.00
_cell_angle_beta 90.00
_cell_angle_gamma 90.00
_symmetry_space_group_name_H-M 'I m m m'
_symmetry_Int_Tables_number 71
_symmetry_space_group_name_Hall '-I 2 2'
loop_
_atom_site_label
_atom_site_type_symbol
_atom_site_fract_x
_atom_site_fract_y
_atom_site_fract_z
Ca1 Ca 0.0000 0.0000 0.0000
Ca2 Ca 0.0000 0.0000 0.2835
Cd1 Cd 0.0000 0.1637 0.5000
Cd2 Cd 0.0000 0.5000 0.0000
Hg1 Hg 0.0000 0.3009 0.1479
Hg2 Hg 0.0000 0.3627 0.3553
```

***

The following is a PBE calculation of crystalline Ca5CdHg2 at its relaxed geometry, from Alexandria.

Cell and atoms, written as CIF:
```
data_Ca5CdHg2
_cell_length_a 6.9049
_cell_length_b 13.2569
_cell_length_c 5.3361
_cell_angle_alpha 90.00
_cell_angle_beta 90.00
_cell_angle_gamma 90.00
_symmetry_space_group_name_H-M 'P b a m'
_symmetry_Int_Tables_number 55
loop_
_symmetry_equiv_pos_as_xyz
'x,y,z'
'-x,-y,-z'
'-x,-y,z'
'x,y,-z'
'x+1/2,-y+1/2,-z'
'-x+1/2,y+1/2,z'
'-x+1/2,y+1/2,-z'
'x+1/2,-y+1/2,z'
loop_
_atom_site_label
_atom_site_type_symbol
_atom_site_fract_x
_atom_site_fract_y
_atom_site_fract_z
Ca1 Ca 0.0000 0.0000 0.0000
Ca2 Ca 0.1413 0.2764 0.0000
Ca3 Ca 0.1731 0.6065 0.5000
Cd1 Cd 0.0000 0.5000 0.0000
Hg1 Hg 0.1426 0.8620 0.5000
```

***

The following is a PBE calculation of crystalline CaCd7Hg12 at its relaxed geometry, from Alexandria.

Cell and atoms, written as CIF:
```
data_CaCd7Hg12
_cell_length_a 13.2897
_cell_length_b 13.2897
_cell_length_c 10.1940
_cell_angle_alpha 90.00
_cell_angle_beta 90.00
_cell_angle_gamma 120.00
_symmetry_space_group_name_H-M 'R -3'
_symmetry_Int_Tables_number 148
_symmetry_space_group_name_Hall '-R 3'
loop_
_atom_site_label
_atom_site_type_symbol
_atom_site_fract_x
_atom_site_fract_y
_atom_site_fract_z
Ca1 Ca 0.0000 0.0000 0.0000
Cd1 Cd 0.0000 0.0000 0.5000
Cd2 Cd 0.0496 0.4854 0.6238
Hg1 Hg 0.0133 0.2506 0.5271
Hg2 Hg 0.0624 0.1721 0.2440
```

***

The following is a PBE calculation of crystalline CaCdHg4 at its relaxed geometry, from Alexandria.

Cell and atoms, written as CIF:
```
data_CaCdHg4
_cell_length_a 8.5990
_cell_length_b 8.5990
_cell_length_c 8.5990
_cell_angle_alpha 90.00
_cell_angle_beta 90.00
_cell_angle_gamma 90.00
_symmetry_space_group_name_H-M 'F -4 3 m'
_symmetry_Int_Tables_number 216
_symmetry_space_group_name_Hall 'F -4 2 3'
loop_
_atom_site_label
_atom_site_type_symbol
_atom_site_fract_x
_atom_site_fract_y
_atom_site_fract_z
Ca1 Ca 0.0000 0.0000 0.0000
Cd1 Cd 0.2500 0.2500 0.7500
Hg1 Hg 0.1249 0.1249 0.3751
```

***

The following is a PBE calculation of crystalline Ca2Cd3Hg3 at its relaxed geometry, from Alexandria.

Cell and atoms, written as CIF:
```
data_Ca2Cd3Hg3
_cell_length_a 5.1738
_cell_length_b 5.1738
_cell_length_c 25.2973
_cell_angle_alpha 90.00
_cell_angle_beta 90.00
_cell_angle_gamma 120.00
_symmetry_space_group_name_H-M 'R 3 m'
_symmetry_Int_Tables_number 160
_symmetry_space_group_name_Hall 'R 3 -2"'
loop_
_atom_site_label
_atom_site_type_symbol
_atom_site_fract_x
_atom_site_fract_y
_atom_site_fract_z
Ca1 Ca 0.0000 0.0000 0.0000
Ca2 Ca 0.0000 0.0000 0.4953
Cd1 Cd 0.0000 0.0000 0.2487
Cd2 Cd 0.0000 0.0000 0.6217
Cd3 Cd 0.0000 0.0000 0.7463
Hg1 Hg 0.0000 0.0000 0.1240
Hg2 Hg 0.0000 0.0000 0.3705
Hg3 Hg 0.0000 0.0000 0.8744
```

***

no.,total energy (eV per cell)
1,-26.8
2,-17.7
3,-10.7
4,-9.3
5,-7.8
6,-36.3
7,-30.2
8,-30.2
9,-28.7
10,-38.1
11,-19.3
12,-31.1